1.
Here is a geometry-optimized BeP4Pt structure from the Alexandria database. Energies are from PBE.

## Properties
* energy: -4.43 eV per atom
* energy of formation: 808 meV/atom
* D(E_F): 0.4000 states/eV per atom
* total moment: 0.00 μB per atom

Cell: 7.035 7.035 7.035 Å, 90.00 90.00 90.00°
Space group F-43m (No. 216)
One atom of each set of equivalent atoms:
Be 0.000 0.000 0.000 [4 per cell]
P 0.126 0.126 0.626 [16 per cell]
Pt 0.250 0.250 0.250 [4 per cell]

=====

2.
Here is a geometry-optimized Rb3HgTe3 structure from the Alexandria database. Energies are from PBE.

## Properties
* energy: -2.45 eV per atom
* energy relative to the elements, uncorrected: -0.65 eV/atom
* D(E_F): 0.9809 states/eV per atom
* total moment: 0.00 μB per atom

Cell: 12.1020 12.1020 7.3982 Å, 90.00 90.00 120.00°
Space group R3m (No. 160, hexagonal axes)
One atom of each set of equivalent atoms:
Rb 0.1875 0.3750 0.0000 [9 per cell]
Hg 0.0000 0.0000 0.8014 [3 per cell]
Te 0.1998 0.3996 0.4986 [9 per cell]

=====

3.
Here is a geometry-optimized DyCd2InSn structure from the Alexandria database. Energies are from PBE.

## Properties
* energy: -2.84 eV per atom
* energy of formation: -209 meV/atom
* D(E_F): 0.3542 states/eV per atom
* total moment: 0.00 μB per atom

Cell: 4.645 11.454 9.443 Å, 90.00 90.00 90.00°
Space group Cmcm (No. 63)
One atom of each set of equivalent atoms:
Dy 0.000 0.054 0.250 [4 per cell]
Cd 0.000 0.241 0.590 [8 per cell]
In 0.000 0.338 0.250 [4 per cell]
Sn 0.000 0.500 0.000 [4 per cell]